The following is a PBE calculation of a relaxed La4PrSmDy2 crystal, from Alexandria via LeMat-Bulk.

The total energy comes out at -38.313 eV per formula unit. For the calculated formation energy, the calculation gives 0.10 eV/f.u.

Cell and atoms, written as CIF:
```
data_La4PrSmDy2
_chemical_formula_sum 'La4 Pr1 Sm1 Dy2'
_cell_length_a 6.378
_cell_length_b 3.687
_cell_length_c 12.065
_cell_angle_alpha 90.00
_cell_angle_beta 100.17
_cell_angle_gamma 90.00
_space_group_name_H-M_alt 'P 1 2/m 1'
_space_group_IT_number 10
loop_
_space_group_symop_operation_xyz
'x,y,z'
'-x,-y,-z'
'-x,y,-z'
'x,-y,z'
loop_
_atom_site_label
_atom_site_type_symbol
_atom_site_fract_x
_atom_site_fract_y
_atom_site_fract_z
La1 La 0.247 0.000 0.246
La2 La 0.251 0.500 0.754
Pr1 Pr 0.500 0.500 0.500
Sm1 Sm 0.000 0.000 0.500
Dy1 Dy 0.000 0.500 0.000
Dy2 Dy 0.500 0.000 0.000
```